[1]
Computed, not measured: a geometry-optimized Ho2Er12Pu structure at the PBE level of DFT.

Values from the calculation:
Magnetic moment: 0.4391 μB per atom
E_form: 1.575 eV per formula unit
Raw total energy: -5.111 eV/atom
SG: P2/m, No. 10

a b c (Å): 3.5457 5.6160 23.3646
angles (deg): 90.00 94.33 90.00
Closest atoms and distances in Å follow each position.
Fractional positions:
1 Ho 0.1459 0.0000 0.2851  10 Er 3.43-3.71, 2 Ho 3.55
2 Ho 0.8541 0.0000 0.7149  10 Er 3.43-3.71, 2 Ho 3.55
3 Er 0.1004 0.5000 0.1941  10 Er 3.44-3.55, 2 Ho 3.52
4 Er 0.2235 0.5000 0.4428  10 Er 3.19-3.55
5 Er 0.2844 0.0000 0.5749  8 Er 3.34-3.69, 2 Ho 3.71
6 Er 0.3356 0.5000 0.6773  8 Er 3.31-3.69, 4 Ho 3.43
7 Er 0.4229 0.0000 0.8529  8 Er 3.36-3.55, 2 Ho 3.67
8 Er 0.4649 0.5000 0.9325  5 Er 3.15-3.45
9 Er 0.5351 0.5000 0.0675  5 Er 3.15-3.45
10 Er 0.5771 0.0000 0.1471  8 Er 3.36-3.55, 2 Ho 3.67
11 Er 0.6644 0.5000 0.3227  8 Er 3.31-3.69, 4 Ho 3.43
12 Er 0.7156 0.0000 0.4251  8 Er 3.34-3.69, 2 Ho 3.71
13 Er 0.7765 0.5000 0.5572  10 Er 3.19-3.55
14 Er 0.8996 0.5000 0.8059  10 Er 3.44-3.55, 2 Ho 3.52
15 Pu 0.0000 0.0000 0.0000  2 Pu 3.55, 12 Er 3.67-3.87

[2]
Computed, not measured: a geometry-optimized ZnInGeO4 structure at the PBE level of DFT.

Values from the calculation:
Magnetic moment: 0.0000 μB per atom
Raw total energy: -5.397 eV/atom
SG: Imma, No. 74
E_form (uncorrected): -1.331 eV per atom

a b c (Å): 6.2724 6.2724 6.2724
angles (deg): 120.58 119.08 90.30
Closest atoms and distances in Å follow each position.
Fractional positions:
1 Zn 0.5000 0.0000 0.0000  6 O 2.19-2.20
2 Zn 0.5000 0.5000 0.5000  6 O 2.19-2.20
3 In 0.0000 0.0000 0.0000  6 O 2.21-2.23
4 In 0.5000 0.0000 0.5000  6 O 2.21-2.23
5 Ge 0.1197 0.3697 0.7500  4 O 1.94
6 Ge 0.8803 0.6303 0.2500  4 O 1.94
7 O 0.2513 0.2525 0.5012  1 Ge 1.94
8 O 0.2513 0.7501 0.9988  1 Ge 1.94
9 O 0.2565 0.7499 0.5065  1 Ge 1.94
10 O 0.2566 0.2501 0.0065  1 Ge 1.94
11 O 0.7434 0.7499 0.9935  1 Ge 1.94
12 O 0.7435 0.2501 0.4935  1 Ge 1.94
13 O 0.7487 0.2499 0.0012  1 Ge 1.94
14 O 0.7487 0.7475 0.4988  1 Ge 1.94

[3]
Computed, not measured: a geometry-optimized AlPbSe2 structure at the PBE level of DFT.

Values from the calculation:
Magnetic moment: 0.0000 μB per atom
Raw total energy: -3.985 eV/atom
SG: R3m, No. 160
E_form (uncorrected): -0.380 eV per atom

a b c (Å): 8.6627 8.6627 8.6627
angles (deg): 26.03 26.03 26.03
Closest atoms and distances in Å follow each position.
Fractional positions:
1 Al 0.0000 0.0000 0.0000  3 Se 2.52
2 Pb 0.7608 0.7608 0.7608  3 Se 2.80
3 Se 0.2886 0.2886 0.2886  3 Al 2.52
4 Se 0.4938 0.4938 0.4938  3 Pb 2.80

Copy entry 3 word for word.
Computed, not measured: a geometry-optimized AlPbSe2 structure at the PBE level of DFT.

Values from the calculation:
Magnetic moment: 0.0000 μB per atom
Raw total energy: -3.985 eV/atom
SG: R3m, No. 160
E_form (uncorrected): -0.380 eV per atom

a b c (Å): 8.6627 8.6627 8.6627
angles (deg): 26.03 26.03 26.03
Closest atoms and distances in Å follow each position.
Fractional positions:
1 Al 0.0000 0.0000 0.0000  3 Se 2.52
2 Pb 0.7608 0.7608 0.7608  3 Se 2.80
3 Se 0.2886 0.2886 0.2886  3 Al 2.52
4 Se 0.4938 0.4938 0.4938  3 Pb 2.80

> What is the magnetic moment in the first record?

0.4391 μB per atom